Below is a geometry-optimized PmAlFeO4 structure, with properties calculated at the GGA+U level.

- DFT total energy: -7.37 eV per atom
- Crystal system: orthorhombic
- Total magnetization: 4.0 μB/f.u.

Cell lengths 6.2092, 6.2839, 6.2839 Å; angles 63.16, 60.39, 60.39 degrees
Last column: nearest neighbours and their distance in Å.
Positions (direct):
O  0.7324  0.7532  0.7820  1 Al 1.84
Fe  0.5000  0.0000  0.5000  6 O 2.13-2.34
Al  0.6179  0.6321  0.1321  4 O 1.82-1.84
Fe  0.0000  0.0000  0.5000  6 O 2.13-2.34
Pm  0.0000  0.5000  0.5000  6 O 2.33-2.34
O  0.7324  0.2820  0.2532  1 Al 1.84
O  0.7411  0.2436  0.7436  1 Al 1.82
O  0.2589  0.7564  0.2564  1 Al 1.82
O  0.2676  0.2468  0.2180  1 Al 1.84
O  0.7284  0.7564  0.2564  1 Al 1.82
Al  0.3821  0.3679  0.8679  4 O 1.82-1.84
O  0.2716  0.2436  0.7436  1 Al 1.82
O  0.2676  0.7180  0.7468  1 Al 1.84
Pm  0.0000  0.0000  0.0000  6 O 2.33-2.34